# 1
SrHg5Sb: relaxed, GGA-PBE.

Results
SG: P4/mmm
VASP energy: -1.294 eV/atom
DOS at the Fermi energy: 0.34 states/eV per atom

Structure (POSCAR):
```
SrHg5Sb
1.0
-0.6112 4.8894 1.6466
1.5049 -1.4170 4.7663
7.2858 1.5321 -1.8450
Hg Sb Sr
5 1 1
Direct
0.0000 0.5000 0.2759
0.5000 0.5000 0.0000
0.5000 0.0000 0.7241
0.0000 0.5000 0.7241
0.5000 0.0000 0.2759
0.0000 0.0000 0.5000
0.0000 0.0000 0.0000
```

---

# 2
Ba8TlHRh2: relaxed, GGA-PBE.

Results
SG: P2/m
VASP energy: -3.174 eV/atom
DOS at the Fermi energy: 0.73 states/eV per atom

Structure (POSCAR):
```
Ba8TlHRh2
1.0
-4.5625 -2.3694 5.6142
-3.8143 -4.4696 -4.6048
6.0277 -7.1012 1.9017
Rh Ba Tl H
2 8 1 1
Direct
0.4999 0.5001 0.7608
0.5001 0.4999 0.2392
0.3498 0.2907 0.5000
0.6749 0.7232 0.0000
0.8207 0.2404 0.2225
0.6502 0.7093 0.5000
0.1793 0.7596 0.7775
0.3251 0.2768 0.0000
0.1794 0.7595 0.2225
0.8206 0.2405 0.7775
0.0000 0.0000 0.5000
0.0000 0.0000 0.0000
```

---

# 3
Er3Si2Pt7: relaxed, GGA-PBE.

Results
SG: Cmmm
VASP energy: -6.575 eV/atom
DOS at the Fermi energy: 0.35 states/eV per atom

Structure (POSCAR):
```
Er3Si2Pt7
1.0
3.9760 0.0000 0.0000
0.0000 4.0533 -0.6020
0.0000 0.0514 14.2935
Si Pt Er
2 7 3
Direct
0.0000 0.0830 0.1660
0.0000 0.9170 0.8340
0.0000 0.7876 0.5752
0.0000 0.3717 0.7434
0.0000 0.2124 0.4248
0.5000 0.8704 0.7408
0.0000 0.0000 0.0000
0.0000 0.6283 0.2566
0.5000 0.1296 0.2592
0.5000 0.7022 0.4044
0.5000 0.5000 0.0000
0.5000 0.2978 0.5956
```

---

# 4
Pr3Cd2Pd3: relaxed, GGA-PBE.

Results
SG: P6_3/mcm
VASP energy: -4.574 eV/atom
DOS at the Fermi energy: 0.74 states/eV per atom
E_form: -0.61 eV per atom

Structure (POSCAR):
```
Pr3Cd2Pd3
1.0
-0.1174 3.0141 5.1053
-3.0679 -7.0562 4.0953
8.5978 1.3109 -0.5762
Pr Pd Cd
6 6 4
Direct
0.2500 0.7242 0.0000
0.2500 0.2758 0.2758
0.7500 0.2758 0.0000
0.2500 0.0000 0.7242
0.7500 0.7242 0.7242
0.7500 0.0000 0.2758
0.7500 0.0000 0.6110
0.2500 0.0000 0.3890
0.2500 0.3890 0.0000
0.7500 0.6110 0.0000
0.2500 0.6110 0.6110
0.7500 0.3890 0.3890
0.0000 0.3333 0.6667
0.0000 0.6667 0.3333
0.5000 0.3333 0.6667
0.5000 0.6667 0.3333
```

---

# 5
FePt4W: relaxed, GGA-PBE.

Results
SG: F-43m
VASP energy: -7.312 eV/atom
DOS at the Fermi energy: 0.73 states/eV per atom
E_form: 0.28 eV per atom

Structure (POSCAR):
```
FePt4W
1.0
0.0000 3.6597 3.6597
3.6597 0.0000 3.6597
3.6597 3.6597 0.0000
Fe W Pt
1 1 4
Direct
0.0000 0.0000 0.0000
0.2500 0.2500 0.2500
0.6250 0.6250 0.6250
0.1250 0.6250 0.6250
0.6250 0.1250 0.6250
0.6250 0.6250 0.1250
```

---

# 6
SiPbCl2: relaxed, GGA-PBE.

Results
SG: Fm-3m
VASP energy: -3.127 eV/atom
DOS at the Fermi energy: 0.85 states/eV per atom

Structure (POSCAR):
```
SiPbCl2
1.0
0.6866 -1.0449 4.9698
-2.7228 2.5059 3.5452
-3.6514 -2.4503 2.6315
Cl Pb Si
2 1 1
Direct
0.2500 0.2500 0.2500
0.7500 0.7500 0.7500
0.5000 0.5000 0.5000
0.0000 0.0000 0.0000
```

---

# 7
Zr3CdN: relaxed, GGA-PBE.

Results
SG: Pm-3m
VASP energy: -7.772 eV/atom
DOS at the Fermi energy: 0.71 states/eV per atom

Structure (POSCAR):
```
Zr3CdN
1.0
-4.2003 1.0106 1.3459
-1.4192 -4.0720 -1.3713
0.9049 -1.6950 4.0968
Zr N Cd
3 1 1
Direct
0.0000 0.0000 0.5000
0.0000 0.5000 0.0000
0.5000 0.0000 0.0000
0.0000 0.0000 0.0000
0.5000 0.5000 0.5000
```

---

# 8
ZrSnOsRh: relaxed, GGA-PBE.

Results
SG: F-43m
VASP energy: -8.219 eV/atom
DOS at the Fermi energy: 0.96 states/eV per atom
E_form: -0.44 eV per atom

Structure (POSCAR):
```
ZrSnOsRh
1.0
4.6211 0.0000 0.0000
2.3105 4.0020 0.0000
2.3105 1.3340 3.7731
Os Sn Rh Zr
1 1 1 1
Direct
0.0000 0.0000 0.0000
0.2500 0.2500 0.2500
0.5000 0.5000 0.5000
0.7500 0.7500 0.7500
```

---

For reference, V by record: 29.58; 44.99; 19.21; 24.38; 16.34; 23.79; 18.53; 17.44 Å³/atom.